PBE+U HfWNF2, relaxed; E above lowest polymorph = 0.706 eV/atom; crystal system = tetragonal
1.0
4.113 0.000 0.000
0.000 4.113 0.000
0.000 0.000 4.462
Hf W N F
1 1 1 2
Direct
0.000 0.000 0.000
0.500 0.500 0.500
0.500 0.500 0.000
0.000 0.500 0.500
0.500 0.000 0.500